BeMoN2F | PBE with a Hubbard U | optimized geometry

Cell and atoms, written as CIF:
```
data_BeMoN2F
_chemical_formula_sum 'Be1 Mo1 N2 F1'
_cell_length_a 3.960
_cell_length_b 3.960
_cell_length_c 4.022
_cell_angle_alpha 90.00
_cell_angle_beta 90.00
_cell_angle_gamma 90.00
_space_group_name_H-M_alt 'P 4/m m m'
_space_group_IT_number 123
_space_group_name_Hall '-P 4 2'
loop_
_atom_site_label
_atom_site_type_symbol
_atom_site_fract_x
_atom_site_fract_y
_atom_site_fract_z
Be1 Be 0.000 0.000 0.000
Mo1 Mo 0.500 0.500 0.500
N1 N 0.000 0.500 0.500
F1 F 0.500 0.500 0.000
```

Values from the calculation:
Electronic total energy, eV/atom: -5.337
Magnetization, μB per formula unit: 0.0
Crystal system: tetragonal
Distance to the lowest polymorph of the same formula, eV/atom: 0.518
Calculated volume, Å³ per cell: 63
Fermi-level density of states, states/eV/f.u.: 3.2